## LiNdYSb (PBE)

Data for an optimized crystal structure of LiNdYSb.

Structure (CIF):
```
data_LiNdYSb
_chemical_formula_sum 'Li1 Nd1 Y1 Sb1'
_cell_length_a 5.2866
_cell_length_b 5.2866
_cell_length_c 5.2866
_cell_angle_alpha 60.00
_cell_angle_beta 60.00
_cell_angle_gamma 60.00
_space_group_name_H-M_alt 'P 1'
_space_group_IT_number 1
loop_
_space_group_symop_operation_xyz
'x,y,z'
loop_
_atom_site_label
_atom_site_fract_x
_atom_site_fract_y
_atom_site_fract_z
Li1 0.0000 0.0000 0.0000
Nd1 0.2500 0.2500 0.2500
Y1 0.7500 0.7500 0.7500
Sb1 0.5000 0.5000 0.5000
```

## Properties
formation energy without anion corrections: -1.95 eV/f.u.